# CoTePtO6, optimized geometry, DFT PBE with a Hubbard U
# M_tot: 3.03 μB per formula unit
# crystal system: tetragonal
# energy: -5.736 eV/atom
# DOS at the Fermi energy: 1.0 states/eV/cell
data_CoTePtO6
_chemical_formula_sum 'Co2 Te2 Pt2 O12'
_cell_length_a 4.649
_cell_length_b 4.649
_cell_length_c 9.440
_cell_angle_alpha 90.00
_cell_angle_beta 90.00
_cell_angle_gamma 90.00
_space_group_name_H-M_alt 'P 1'
_space_group_IT_number 1
loop_
_space_group_symop_operation_xyz
'x,y,z'
loop_
_atom_site_label
_atom_site_type_symbol
_atom_site_fract_x
_atom_site_fract_y
_atom_site_fract_z
_atom_site_occupancy
Co1 Co 0.500 0.500 0.166 1
Co2 Co 0.000 0.000 0.666 1
Te1 Te 0.500 0.500 0.835 1
Te2 Te 0.000 0.000 0.335 1
Pt1 Pt 0.500 0.500 0.500 1
Pt2 Pt 0.000 0.000 0.000 1
O1 O 0.192 0.808 0.497 1
O2 O 0.808 0.192 0.497 1
O3 O 0.308 0.308 0.997 1
O4 O 0.692 0.692 0.997 1
O5 O 0.191 0.809 0.170 1
O6 O 0.809 0.191 0.170 1
O7 O 0.309 0.309 0.670 1
O8 O 0.691 0.691 0.670 1
O9 O 0.803 0.197 0.833 1
O10 O 0.197 0.803 0.833 1
O11 O 0.697 0.697 0.333 1
O12 O 0.303 0.303 0.333 1